<one>
Below is a geometry-optimized CaLaCrBiO6 structure, with properties calculated at the PBE+U level.

The value obtained for the total moment is 0.36 μB per atom.

POSCAR file:
```
CaLaCrBiO6
1.0
0.0000 4.1223 4.1223
4.1223 0.0000 4.1223
4.1223 4.1223 0.0000
Ca La Cr Bi O
1 1 1 1 6
direct
0.7500 0.7500 0.7500 Ca
0.2500 0.2500 0.2500 La
0.5000 0.5000 0.5000 Cr
0.0000 0.0000 0.0000 Bi
0.2608 0.7392 0.2608 O
0.7392 0.2608 0.7392 O
0.2608 0.7392 0.7392 O
0.7392 0.2608 0.2608 O
0.2608 0.2608 0.7392 O
0.7392 0.7392 0.2608 O
```

=====

<two>
Below is a geometry-optimized CaLaCrBiO6 structure, with properties calculated at the PBE+U level.

The value obtained for the total moment is 0.21 μB per atom.

POSCAR file:
```
CaLaCrBiO6
1.0
5.9022 0.0000 0.0000
0.0000 5.6830 0.0081
0.0000 5.5683 8.1880
Ca La Cr Bi O
2 2 2 2 12
direct
0.1927 0.7692 0.7500 Ca
0.8073 0.7692 0.2500 Ca
0.6938 0.2331 0.7504 La
0.3062 0.2331 0.2504 La
0.7508 0.9995 0.4996 Cr
0.2492 0.9995 0.9996 Cr
0.7537 0.4988 0.0014 Bi
0.2463 0.4988 0.5014 Bi
0.1992 0.6530 0.2335 O
0.9664 0.8828 0.9345 O
0.9371 0.2265 0.5593 O
0.4362 0.7701 0.9408 O
0.4626 0.1155 0.5637 O
0.7051 0.3515 0.2668 O
0.8008 0.6530 0.7335 O
0.0336 0.8828 0.4345 O
0.0629 0.2265 0.0593 O
0.5638 0.7701 0.4408 O
0.5374 0.1155 0.0637 O
0.2949 0.3515 0.7668 O
```

=====

Compare the structures above. Which one is the least stable? <one> is.